Record 1
Below is a geometry-optimized La3PmY2Se6 structure, with properties calculated at the PBE-GGA level.

Calculated values
Space-group type: No. 12
Raw formation energy, eV per atom: -1.90
Magnetic moment, μB per formula unit: 0.00

a = 7.2863 Å, b = 7.2863 Å, c = 7.3443 Å
α = 99.51°, β = 99.51°, γ = 120.16°
Fractional coordinates of all 12 atoms:
Se: 0.5818 0.9213 0.7637
Se: 0.2618 0.2618 0.7663
La: 0.5000 0.5000 0.5000
La: 0.1638 0.8362 0.5000
Se: 0.9213 0.5818 0.7637
Se: 0.4182 0.0787 0.2363
Y: 0.6666 0.3334 0.0000
La: 0.8362 0.1638 0.5000
Pm: 0.0000 0.0000 0.0000
Y: 0.3334 0.6666 0.0000
Se: 0.0787 0.4182 0.2363
Se: 0.7382 0.7382 0.2337


Record 2
Below is a geometry-optimized LaPm3Y2Se6 structure, with properties calculated at the PBE-GGA level.

Calculated values
Space-group type: No. 12
Raw formation energy, eV per atom: -1.84
Magnetic moment, μB per formula unit: 0.00

a = 7.2470 Å, b = 7.2470 Å, c = 7.2431 Å
α = 99.60°, β = 99.60°, γ = 120.21°
Fractional coordinates of all 12 atoms:
Se: 0.4265 0.0825 0.2475
Se: 0.2638 0.2638 0.7584
Pm: 0.1612 0.8388 0.5000
Se: 0.9175 0.5735 0.7525
Se: 0.0825 0.4265 0.2475
Se: 0.7362 0.7362 0.2416
La: 0.0000 0.0000 0.0000
Se: 0.5735 0.9175 0.7525
Pm: 0.8388 0.1612 0.5000
Y: 0.3328 0.6672 0.0000
Y: 0.6672 0.3328 0.0000
Pm: 0.5000 0.5000 0.5000


Record 3
Below is a geometry-optimized LaPm2Si structure, with properties calculated at the PBE-GGA level.

Calculated values
Space-group type: No. 62
Raw formation energy, eV per atom: -0.37
Magnetic moment, μB per formula unit: 0.00

a = 6.4720 Å, b = 7.9629 Å, c = 9.3538 Å
α = 90.00°, β = 90.00°, γ = 90.00°
Fractional coordinates of all 16 atoms:
Pm: 0.8734 0.3122 0.5532
Si: 0.9184 0.6160 0.7500
Si: 0.0816 0.3840 0.2500
La: 0.1290 0.9689 0.7500
Si: 0.4184 0.8840 0.2500
Pm: 0.6266 0.8122 0.9468
Pm: 0.1266 0.6878 0.0532
Pm: 0.1266 0.6878 0.4468
Pm: 0.6266 0.8122 0.5532
Pm: 0.3734 0.1878 0.4468
Si: 0.5816 0.1160 0.7500
Pm: 0.3734 0.1878 0.0532
La: 0.8710 0.0311 0.2500
La: 0.6290 0.5311 0.2500
Pm: 0.8734 0.3122 0.9468
La: 0.3710 0.4689 0.7500


Record 4
Below is a geometry-optimized LaPm6Si4 structure, with properties calculated at the PBE-GGA level.

Calculated values
Space-group type: No. 121
Raw formation energy, eV per atom: -0.39
Magnetic moment, μB per formula unit: 0.00

a = 7.7763 Å, b = 7.7763 Å, c = 7.7763 Å
α = 89.58°, β = 120.24°, γ = 120.24°
Fractional coordinates of all 11 atoms:
Pm: 0.3110 0.4835 0.4835
Si: 0.5598 0.3727 0.3727
La: 0.0000 0.0000 0.0000
Si: 0.4402 0.8129 0.8129
Pm: 0.0000 0.8275 0.5165
Pm: 0.6890 0.1725 0.1725
Pm: 0.5000 0.0000 0.5000
Pm: 0.5000 0.5000 0.0000
Pm: 0.0000 0.5165 0.8275
Si: 0.0000 0.1871 0.6273
Si: 0.0000 0.6273 0.1871


Record 5
Below is a geometry-optimized LaPm2Si2 structure, with properties calculated at the PBE-GGA level.

Calculated values
Space-group type: No. 139
Raw formation energy, eV per atom: -0.51
Magnetic moment, μB per formula unit: 0.00

a = 4.5296 Å, b = 4.5296 Å, c = 7.2386 Å
α = 108.23°, β = 108.23°, γ = 90.00°
Fractional coordinates of all 5 atoms:
Pm: 0.7500 0.2500 0.5000
Pm: 0.2500 0.7500 0.5000
Si: 0.5911 0.5911 0.1822
La: 0.0000 0.0000 0.0000
Si: 0.4089 0.4089 0.8178


Record 6
Below is a geometry-optimized LaPm3Si structure, with properties calculated at the PBE-GGA level.

Calculated values
Space-group type: No. 62
Raw formation energy, eV per atom: -0.20
Magnetic moment, μB per formula unit: 0.00

a = 6.6965 Å, b = 9.2249 Å, c = 10.1449 Å
α = 90.00°, β = 90.00°, γ = 90.00°
Fractional coordinates of all 20 atoms:
La: 0.7503 0.3695 0.2500
Pm: 0.1229 0.8202 0.0549
Pm: 0.7656 0.4844 0.7500
La: 0.2503 0.1305 0.2500
Si: 0.0000 0.5000 0.0000
Pm: 0.3771 0.3202 0.5549
Si: 0.0000 0.5000 0.5000
Pm: 0.2344 0.5156 0.2500
Pm: 0.6229 0.6798 0.4451
La: 0.7497 0.8695 0.7500
Si: 0.5000 0.0000 0.0000
Pm: 0.7344 0.9844 0.2500
Pm: 0.6229 0.6798 0.0549
Pm: 0.2656 0.0156 0.7500
Pm: 0.8771 0.1798 0.5549
Pm: 0.3771 0.3202 0.9451
La: 0.2497 0.6305 0.7500
Pm: 0.8771 0.1798 0.9451
Pm: 0.1229 0.8202 0.4451
Si: 0.5000 0.0000 0.5000